1.
# AlCo2Si (SCAN, PBEsol geometry)
data_AlCo2Si
_chemical_formula_sum 'Al2 Co4 Si2'
_cell_length_a 3.8102
_cell_length_b 3.8102
_cell_length_c 5.9019
_cell_angle_alpha 90.00
_cell_angle_beta 90.00
_cell_angle_gamma 90.00
_symmetry_space_group_name_H-M 'I 4/m m m'
_symmetry_Int_Tables_number 139
_symmetry_space_group_name_Hall '-I 4 2'
loop_
_atom_site_label
_atom_site_type_symbol
_atom_site_fract_x
_atom_site_fract_y
_atom_site_fract_z
Al1 Al 0.0000 0.0000 0.0000
Co1 Co 0.0000 0.5000 0.2500
Si1 Si 0.0000 0.0000 0.5000
# E_form (uncorrected): -568.8 meV/atom

2.
# In2NiW (SCAN, PBEsol geometry)
data_In2NiW
_chemical_formula_sum 'In6 Ni3 W3'
_cell_length_a 2.9554
_cell_length_b 2.9554
_cell_length_c 27.5716
_cell_angle_alpha 90.00
_cell_angle_beta 90.00
_cell_angle_gamma 120.00
_symmetry_space_group_name_H-M 'R 3 m'
_symmetry_Int_Tables_number 160
_symmetry_space_group_name_Hall 'R 3 -2"'
loop_
_atom_site_label
_atom_site_type_symbol
_atom_site_fract_x
_atom_site_fract_y
_atom_site_fract_z
In1 In 0.0000 0.0000 0.0000
In2 In 0.0000 0.0000 0.2327
Ni1 Ni 0.0000 0.0000 0.7433
W1 W 0.0000 0.0000 0.4785
# raw total energy: -452.8 eV/cell

3.
# Y3SiOs (SCAN, PBEsol geometry)
data_Y3SiOs
_chemical_formula_sum 'Y3 Si1 Os1'
_cell_length_a 5.2049
_cell_length_b 5.2049
_cell_length_c 5.2049
_cell_angle_alpha 90.00
_cell_angle_beta 90.00
_cell_angle_gamma 90.00
_symmetry_space_group_name_H-M 'P m -3 m'
_symmetry_Int_Tables_number 221
_symmetry_space_group_name_Hall '-P 4 2 3'
loop_
_atom_site_label
_atom_site_type_symbol
_atom_site_fract_x
_atom_site_fract_y
_atom_site_fract_z
Y1 Y 0.0000 0.0000 0.5000
Si1 Si 0.5000 0.5000 0.5000
Os1 Os 0.0000 0.0000 0.0000
# E_form (uncorrected): 6.7 meV/atom

4.
# KAl3Ni (SCAN, PBEsol geometry)
data_KAl3Ni
_chemical_formula_sum 'K1 Al3 Ni1'
_cell_length_a 5.3298
_cell_length_b 5.3298
_cell_length_c 5.3298
_cell_angle_alpha 90.00
_cell_angle_beta 90.00
_cell_angle_gamma 90.00
_symmetry_space_group_name_H-M 'P m -3 m'
_symmetry_Int_Tables_number 221
_symmetry_space_group_name_Hall '-P 4 2 3'
loop_
_atom_site_label
_atom_site_type_symbol
_atom_site_fract_x
_atom_site_fract_y
_atom_site_fract_z
K1 K 0.0000 0.0000 0.0000
Al1 Al 0.0000 0.0000 0.5000
Ni1 Ni 0.5000 0.5000 0.5000
# raw total energy: -36.4 eV/cell

5.
# Sc2TaHg (SCAN, PBEsol geometry)
data_Sc2TaHg
_chemical_formula_sum 'Sc4 Ta2 Hg2'
_cell_length_a 3.1874
_cell_length_b 4.9483
_cell_length_c 10.3467
_cell_angle_alpha 90.00
_cell_angle_beta 90.00
_cell_angle_gamma 90.00
_symmetry_space_group_name_H-M 'I m m 2'
_symmetry_Int_Tables_number 44
loop_
_symmetry_equiv_pos_as_xyz
'x,y,z'
'-x,-y,z'
'-x,y,z'
'x,-y,z'
'x+1/2,y+1/2,z+1/2'
'-x+1/2,-y+1/2,z+1/2'
'-x+1/2,y+1/2,z+1/2'
'x+1/2,-y+1/2,z+1/2'
loop_
_atom_site_label
_atom_site_type_symbol
_atom_site_fract_x
_atom_site_fract_y
_atom_site_fract_z
Sc1 Sc 0.0000 0.0000 0.0000
Sc2 Sc 0.0000 0.5000 0.2202
Ta1 Ta 0.0000 0.5000 0.7467
Hg1 Hg 0.0000 0.0000 0.4785
# raw total energy: -326.7 eV/cell

6.
# YTeMo2 (SCAN, PBEsol geometry)
data_YTeMo2
_chemical_formula_sum 'Y2 Te2 Mo4'
_cell_length_a 4.3702
_cell_length_b 4.3702
_cell_length_c 7.9211
_cell_angle_alpha 90.00
_cell_angle_beta 90.00
_cell_angle_gamma 90.00
_symmetry_space_group_name_H-M 'I -4 m 2'
_symmetry_Int_Tables_number 119
_symmetry_space_group_name_Hall 'I -4 -2'
loop_
_atom_site_label
_atom_site_type_symbol
_atom_site_fract_x
_atom_site_fract_y
_atom_site_fract_z
Y1 Y 0.0000 0.0000 0.0000
Te1 Te 0.0000 0.5000 0.7500
Mo1 Mo 0.0000 0.0000 0.5000
Mo2 Mo 0.0000 0.5000 0.2500
# E_form (uncorrected): 321.2 meV/atom